(1)
# SCAN Sb2OsBr, PBEsol geometry
# * final energy: -161.27 eV/cell
# * energy relative to the lowest polymorph listed for this composition: 1121.1 meV per atom
# * E_form (uncorrected): 1.148 eV per atom
# * total moment: 0.00 μB/cell
data_Sb2OsBr
_chemical_formula_sum 'Sb2 Os1 Br1'
_space_group_name_H-M_alt 'P m m m'
_space_group_IT_number 47
_cell_length_a 3.261
_cell_length_b 4.900
_cell_length_c 5.094
_cell_angle_alpha 90.00
_cell_angle_beta 90.00
_cell_angle_gamma 90.00
loop_
_space_group_symop_operation_xyz
'x,y,z'
'-x,-y,-z'
'-x,-y,z'
'x,y,-z'
'x,-y,-z'
'-x,y,z'
'-x,y,-z'
'x,-y,z'
loop_
_atom_site_label
_atom_site_type_symbol
_atom_site_fract_x
_atom_site_fract_y
_atom_site_fract_z
Sb1 Sb 0.000 0.000 0.000
Sb2 Sb 0.500 0.000 0.500
Os1 Os 0.000 0.500 0.500
Br1 Br 0.500 0.500 0.000

---

(2)
# SCAN SbOsBr, PBEsol geometry
# * final energy: -126.70 eV/cell
# * E_form (uncorrected): 0.632 eV per atom
# * total moment: 0.00 μB/cell
data_SbOsBr
_chemical_formula_sum 'Sb1 Os1 Br1'
_space_group_name_H-M_alt 'P 3 m 1'
_space_group_IT_number 156
_cell_length_a 3.2259
_cell_length_b 3.2259
_cell_length_c 7.5750
_cell_angle_alpha 90.00
_cell_angle_beta 90.00
_cell_angle_gamma 120.00
loop_
_space_group_symop_operation_xyz
'x,y,z'
'-y,x-y,z'
'-x+y,-x,z'
'-y,-x,z'
'-x+y,y,z'
'x,x-y,z'
loop_
_atom_site_label
_atom_site_type_symbol
_atom_site_fract_x
_atom_site_fract_y
_atom_site_fract_z
Sb1 Sb 0.0000 0.0000 0.0000
Os1 Os 0.6667 0.3333 0.2492
Br1 Br 0.3333 0.6667 0.5133

---

(3)
# SCAN Sb2OsBr, PBEsol geometry
# * final energy: -331.51 eV/cell
# * energy relative to the lowest polymorph listed for this composition: 0.0 meV per atom
# * E_form (uncorrected): 0.026 eV per atom
# * total moment: 0.00 μB/cell
data_Sb2OsBr
_chemical_formula_sum 'Sb4 Os2 Br2'
_space_group_name_H-M_alt 'C 1 2/m 1'
_space_group_IT_number 12
_cell_length_a 6.919
_cell_length_b 3.976
_cell_length_c 8.345
_cell_angle_alpha 90.00
_cell_angle_beta 105.73
_cell_angle_gamma 90.00
loop_
_space_group_symop_operation_xyz
'x,y,z'
'-x,-y,-z'
'-x,y,-z'
'x,-y,z'
'x+1/2,y+1/2,z'
'-x+1/2,-y+1/2,-z'
'-x+1/2,y+1/2,-z'
'x+1/2,-y+1/2,z'
loop_
_atom_site_label
_atom_site_type_symbol
_atom_site_fract_x
_atom_site_fract_y
_atom_site_fract_z
Sb1 Sb 0.116 0.000 0.341
Os1 Os 0.000 0.500 0.500
Br1 Br 0.000 0.000 0.000

---

Number 1: D(E_F) 2.58 states/eV/cell. Number 2: D(E_F) 3.46 states/eV/cell. Number 3: D(E_F) 4.01 states/eV/cell.